VASP calculation (PBE) on a geometry-optimized TaNbCuRh structure.

Structure (POSCAR):
```
TaNbCuRh
1.0
3.925 0.000 0.000
0.000 3.991 0.000
0.000 0.000 3.975
Rh Cu Ta Nb
1 1 1 1
Direct
0.500 0.291 0.000
0.000 0.791 0.000
0.000 0.291 0.500
0.500 0.791 0.500
```

Space-group type: Pmmm, No. 47
Size of the total moment, μB per cell: 0.00
Calculated formation energy, kJ/mol of formula units: -73